No. 1
Material: Er3GaFe
Method: DFT, GGA-PBE
State: relaxed

a b c (Å): 7.747 7.747 8.351
angles (deg): 91.65 91.65 28.28
Fractional positions:
Er  0.000  0.000  0.000
Er  0.163  0.163  0.627
Er  0.359  0.359  0.758
Er  0.523  0.523  0.384
Er  0.700  0.700  0.978
Er  0.823  0.823  0.407
Ga  0.172  0.172  0.262
Ga  0.351  0.351  0.123
Fe  0.533  0.533  0.735
Fe  0.990  0.990  0.649

Values from the calculation:
Magnetization   0.00 μB per formula unit

***

No. 2
Material: ErGa2Fe
Method: DFT, GGA-PBE
State: relaxed

a b c (Å): 6.760 4.160 9.996
angles (deg): 90.00 90.00 90.00
Fractional positions:
Er  0.214  0.250  0.161
Er  0.286  0.750  0.661
Er  0.714  0.250  0.339
Er  0.786  0.750  0.839
Ga  0.094  0.250  0.830
Ga  0.231  0.750  0.955
Ga  0.269  0.250  0.455
Ga  0.406  0.750  0.330
Ga  0.594  0.250  0.670
Ga  0.731  0.750  0.545
Ga  0.769  0.250  0.045
Ga  0.906  0.750  0.170
Fe  0.039  0.750  0.419
Fe  0.461  0.250  0.919
Fe  0.539  0.750  0.081
Fe  0.961  0.250  0.581

Values from the calculation:
Magnetization   2.03 μB per formula unit

***

No. 3
Material: ErGa3Fe3
Method: DFT, GGA-PBE
State: relaxed

a b c (Å): 8.203 8.203 3.959
angles (deg): 90.00 90.00 120.00
Fractional positions:
Er  0.333  0.667  0.250
Er  0.667  0.333  0.750
Ga  0.051  0.770  0.750
Ga  0.230  0.281  0.750
Ga  0.281  0.051  0.250
Ga  0.719  0.949  0.750
Ga  0.770  0.719  0.250
Ga  0.949  0.230  0.250
Fe  0.059  0.466  0.750
Fe  0.407  0.941  0.750
Fe  0.466  0.407  0.250
Fe  0.534  0.593  0.750
Fe  0.593  0.059  0.250
Fe  0.941  0.534  0.250

Values from the calculation:
Magnetization   5.49 μB per formula unit

***

No. 4
Material: Er4Ga16Fe3
Method: DFT, GGA-PBE
State: relaxed

a b c (Å): 6.002 6.002 11.134
angles (deg): 90.00 90.00 90.00
Fractional positions:
Er  0.000  0.500  0.194
Er  0.000  0.500  0.806
Er  0.500  0.000  0.194
Er  0.500  0.000  0.806
Ga  0.000  0.000  0.199
Ga  0.000  0.000  0.801
Ga  0.219  0.219  0.000
Ga  0.219  0.781  0.000
Ga  0.251  0.251  0.385
Ga  0.251  0.251  0.615
Ga  0.251  0.749  0.385
Ga  0.251  0.749  0.615
Ga  0.500  0.500  0.216
Ga  0.500  0.500  0.784
Ga  0.749  0.251  0.385
Ga  0.749  0.251  0.615
Ga  0.749  0.749  0.385
Ga  0.749  0.749  0.615
Ga  0.781  0.219  0.000
Ga  0.781  0.781  0.000
Fe  0.000  0.500  0.500
Fe  0.500  0.000  0.500
Fe  0.500  0.500  0.000

Values from the calculation:
Magnetization   1.26 μB per formula unit

***

No. 5
Material: Er2GaFe
Method: DFT, GGA-PBE
State: relaxed

a b c (Å): 3.399 3.399 6.940
angles (deg): 90.00 90.00 90.00
Fractional positions:
Er  0.000  0.000  0.228
Er  0.000  0.000  0.772
Ga  0.500  0.500  0.500
Fe  0.500  0.500  0.000

Values from the calculation:
Magnetization   0.00 μB per formula unit

***

No. 6
Material: ErGaFe
Method: DFT, GGA-PBE
State: relaxed

a b c (Å): 3.042 3.963 4.678
angles (deg): 90.00 90.00 90.00
Fractional positions:
Er  0.000  0.000  0.000
Ga  0.000  0.500  0.500
Fe  0.500  0.000  0.500

Values from the calculation:
Magnetization   0.00 μB per formula unit

***

No. 7
Material: Er2Ga2Fe15
Method: DFT, GGA-PBE
State: relaxed

a b c (Å): 6.367 6.367 6.367
angles (deg): 82.05 82.05 82.05
Fractional positions:
Er  0.153  0.153  0.153
Er  0.847  0.847  0.847
Ga  0.398  0.398  0.398
Ga  0.602  0.602  0.602
Fe  0.000  0.500  0.500
Fe  0.159  0.159  0.660
Fe  0.159  0.660  0.159
Fe  0.193  0.500  0.807
Fe  0.193  0.807  0.500
Fe  0.340  0.841  0.841
Fe  0.500  0.000  0.500
Fe  0.500  0.193  0.807
Fe  0.500  0.500  0.000
Fe  0.500  0.807  0.193
Fe  0.660  0.159  0.159
Fe  0.807  0.193  0.500
Fe  0.807  0.500  0.193
Fe  0.841  0.340  0.841
Fe  0.841  0.841  0.340

Values from the calculation:
Magnetization   28.16 μB per formula unit

***

No. 8
Material: ErGa8Fe2
Method: DFT, GGA-PBE
State: relaxed

a b c (Å): 6.194 6.194 5.357
angles (deg): 90.00 90.00 90.00
Fractional positions:
Er  0.000  0.000  0.000
Ga  0.288  0.288  0.255
Ga  0.288  0.288  0.745
Ga  0.288  0.712  0.255
Ga  0.288  0.712  0.745
Ga  0.712  0.288  0.255
Ga  0.712  0.288  0.745
Ga  0.712  0.712  0.255
Ga  0.712  0.712  0.745
Fe  0.000  0.500  0.500
Fe  0.500  0.000  0.500

Values from the calculation:
Magnetization   3.59 μB per formula unit

***

The records above yield formation energy from the elements values of -0.231, -0.411, 0.013, -0.436, -0.247, -0.024, -0.068, -0.014 eV/atom, respectively.
The records above yield density of states at the Fermi level values of 9.76, 7.89, 7.92, 12.02, 2.78, 2.13, 17.97, 8.89 states/eV per cell, respectively.